(1)
DFT (PBE-GGA) results for crystalline CaPmPrLu at its relaxed geometry.

Output
space group = F-43m
energy of formation = 0.11 eV per atom

a b c (Å): 5.8116 5.8116 5.8116
angles (deg): 60.00 60.00 60.00
Positions (direct):
Pr  0.0000  0.0000  0.0000
Ca  0.2500  0.2500  0.2500
Lu  0.7500  0.7500  0.7500
Pm  0.5000  0.5000  0.5000

=====

(2)
DFT (PBE-GGA) results for crystalline Re2HIrOs at its relaxed geometry.

Output
space group = P4/mmm
final energy = -9.578 eV per atom

a b c (Å): 3.9350 3.9350 3.9138
angles (deg): 90.00 90.00 90.00
Positions (direct):
Re  0.0000  0.5000  0.0000
Re  0.5000  0.0000  0.0000
Ir  0.5000  0.5000  0.5000
Os  0.0000  0.0000  0.5000
H  0.0000  0.0000  0.0000